An optimized crystal structure of YFe2Ir. Source: Alexandria via LeMat-Bulk, functional PBE.

## Properties
- Density: 9.7 Mg/m³
- DOS at the Fermi energy: 0.99 states/eV per atom
- ΔH_f (0 K): 0.10 eV per atom

Geometry as CIF:
```
data_YFe2Ir
_symmetry_space_group_name_H-M 'P 1'
_symmetry_Int_Tables_number 1
_symmetry_space_group_name_Hall 'P 1'
_cell_length_a 2.944
_cell_length_b 4.220
_cell_length_c 5.578
_cell_angle_alpha 90.00
_cell_angle_beta 104.92
_cell_angle_gamma 90.00
loop_
_atom_site_label
_atom_site_fract_x
_atom_site_fract_y
_atom_site_fract_z
Y1 0.000 0.000 0.000
Fe1 0.433 0.500 0.699
Fe2 0.567 0.500 0.301
Ir1 0.000 0.000 0.500
```

***

An optimized crystal structure of BaScCl2. Source: Alexandria via LeMat-Bulk, functional PBE.

## Properties
- E_form (uncorrected): -1.270 eV/atom
- Density: 4.2 Mg/m³
- DOS at the Fermi energy: 0.90 states/eV per atom

Geometry as CIF:
```
data_BaScCl2
_symmetry_space_group_name_H-M 'P 1'
_symmetry_Int_Tables_number 1
_symmetry_space_group_name_Hall 'P 1'
_cell_length_a 4.148
_cell_length_b 4.148
_cell_length_c 7.208
_cell_angle_alpha 106.50
_cell_angle_beta 106.50
_cell_angle_gamma 59.41
loop_
_atom_site_label
_atom_site_fract_x
_atom_site_fract_y
_atom_site_fract_z
Ba1 0.000 0.000 0.000
Sc1 0.500 0.500 0.500
Cl1 0.229 0.229 0.686
Cl2 0.771 0.771 0.314
```

***

An optimized crystal structure of Tm8Th2Mg. Source: Alexandria via LeMat-Bulk, functional PBE.

## Properties
- Density: 8.9 Mg/m³
- DOS at the Fermi energy: 1.63 states/eV per atom
- ΔH_f (0 K): 0.11 eV per atom

Geometry as CIF:
```
data_Tm8Th2Mg
_symmetry_space_group_name_H-M 'P 1'
_symmetry_Int_Tables_number 1
_symmetry_space_group_name_Hall 'P 1'
_cell_length_a 5.006
_cell_length_b 5.006
_cell_length_c 13.685
_cell_angle_alpha 90.00
_cell_angle_beta 90.00
_cell_angle_gamma 90.00
loop_
_atom_site_label
_atom_site_fract_x
_atom_site_fract_y
_atom_site_fract_z
Tm1 0.000 0.000 0.179
Tm2 0.000 0.000 0.821
Tm3 0.000 0.500 0.000
Tm4 0.000 0.500 0.356
Tm5 0.000 0.500 0.644
Tm6 0.500 0.000 0.000
Tm7 0.500 0.000 0.356
Tm8 0.500 0.000 0.644
Th1 0.500 0.500 0.185
Th2 0.500 0.500 0.815
Mg1 0.500 0.500 0.500
```

***

An optimized crystal structure of Ni6GePt. Source: Alexandria via LeMat-Bulk, functional PBE.

## Properties
- Density: 10.9 Mg/m³
- DOS at the Fermi energy: 1.46 states/eV per atom
- ΔH_f (0 K): -0.16 eV per atom

Geometry as CIF:
```
data_Ni6GePt
_symmetry_space_group_name_H-M 'P 1'
_symmetry_Int_Tables_number 1
_symmetry_space_group_name_Hall 'P 1'
_cell_length_a 6.263
_cell_length_b 6.263
_cell_length_c 10.238
_cell_angle_alpha 90.00
_cell_angle_beta 90.00
_cell_angle_gamma 109.61
loop_
_atom_site_label
_atom_site_fract_x
_atom_site_fract_y
_atom_site_fract_z
Ni1 0.000 0.000 0.000
Ni2 0.000 0.000 0.500
Ni3 0.122 0.370 0.372
Ni4 0.122 0.370 0.628
Ni5 0.122 0.373 0.122
Ni6 0.122 0.373 0.878
Ni7 0.247 0.753 0.245
Ni8 0.247 0.753 0.755
Ni9 0.370 0.122 0.372
Ni10 0.370 0.122 0.628
Ni11 0.373 0.122 0.122
Ni12 0.373 0.122 0.878
Ni13 0.500 0.500 0.000
Ni14 0.500 0.500 0.500
Ni15 0.627 0.878 0.122
Ni16 0.627 0.878 0.878
Ni17 0.630 0.878 0.372
Ni18 0.630 0.878 0.628
Ni19 0.753 0.247 0.245
Ni20 0.753 0.247 0.755
Ni21 0.878 0.627 0.122
Ni22 0.878 0.627 0.878
Ni23 0.878 0.630 0.372
Ni24 0.878 0.630 0.628
Ge1 0.000 0.000 0.249
Ge2 0.000 0.000 0.751
Ge3 0.252 0.748 0.000
Ge4 0.748 0.252 0.000
Pt1 0.251 0.749 0.500
Pt2 0.500 0.500 0.250
Pt3 0.500 0.500 0.750
Pt4 0.749 0.251 0.500
```

***

no.,V (Å³/cell)
1,67.0
2,100.9
3,342.9
4,378.3